Material: LaMg2Al
Method: DFT, PBE-GGA
State: optimized geometry

As for the space group: No. 38. As for the density of states at the Fermi level: 1.982 states/eV per cell. The total DFT energy (no corrections) is -3.093 eV per atom. Its crystal system is orthorhombic. Its formation energy is -128 meV/atom.

a b c (Å): 4.7747 6.7227 6.7227
angles (deg): 28.13 90.00 90.00
Fractional positions:
La: 0.0000 0.0000 0.0000
Mg: 0.0000 0.2623 0.2623
Mg: 0.5000 0.6701 0.6701
Al: 0.5000 0.3854 0.3854


Material: CaPu2S3
Method: DFT, PBE-GGA
State: optimized geometry

As for the space group: No. 194. As for the density of states at the Fermi level: 34.691 states/eV per cell. The value obtained for the energy relative to the elements, uncorrected is -1813 meV/atom. The total DFT energy (no corrections) is -8.987 eV per atom. Its crystal system is hexagonal.

a b c (Å): 3.9713 3.9713 19.9070
angles (deg): 90.00 90.00 120.00
Fractional positions:
Ca: 0.0000 0.0000 0.2500
Ca: 0.0000 0.0000 0.7500
Pu: 0.3333 0.6667 0.0815
Pu: 0.3333 0.6667 0.4185
Pu: 0.6667 0.3333 0.5815
Pu: 0.6667 0.3333 0.9185
S: 0.0000 0.0000 0.0000
S: 0.0000 0.0000 0.5000
S: 0.3333 0.6667 0.6630
S: 0.3333 0.6667 0.8370
S: 0.6667 0.3333 0.1630
S: 0.6667 0.3333 0.3370


Material: Zr2ReTc
Method: DFT, PBE-GGA
State: optimized geometry

As for the space group: No. 12. As for the density of states at the Fermi level: 4.176 states/eV per cell. The total DFT energy (no corrections) is -9.871 eV per atom. Its crystal system is monoclinic. Its formation energy is 107 meV/atom.

a b c (Å): 4.5808 4.5808 5.5266
angles (deg): 100.73 100.73 40.43
Fractional positions:
Zr: 0.2501 0.2501 0.2498
Zr: 0.7499 0.7499 0.7502
Re: 0.0000 0.0000 0.5000
Tc: 0.5000 0.5000 0.0000


Material: SrZn2SnRh
Method: DFT, PBE-GGA
State: optimized geometry

As for the space group: No. 123. As for the density of states at the Fermi level: 3.859 states/eV per cell. The total DFT energy (no corrections) is -3.442 eV per atom. Its crystal system is tetragonal. Its formation energy is -325 meV/atom.

a b c (Å): 4.8994 4.8994 5.0820
angles (deg): 90.00 90.00 90.00
Fractional positions:
Sr: 0.0000 0.0000 0.0000
Zn: 0.0000 0.5000 0.5000
Zn: 0.5000 0.0000 0.5000
Sn: 0.5000 0.5000 0.0000
Rh: 0.5000 0.5000 0.5000


Material: CrCuSb2
Method: DFT, PBE-GGA
State: optimized geometry

As for the space group: No. 123. As for the density of states at the Fermi level: 2.126 states/eV per cell. The value obtained for the energy relative to the elements, uncorrected is 300 meV/atom. The total DFT energy (no corrections) is -5.191 eV per atom. Its crystal system is tetragonal.

a b c (Å): 4.5746 4.5746 3.7556
angles (deg): 90.00 90.00 90.00
Fractional positions:
Cr: 0.0000 0.0000 0.0000
Cu: 0.5000 0.5000 0.0000
Sb: 0.0000 0.5000 0.5000
Sb: 0.5000 0.0000 0.5000


Material: Sr2CoIr
Method: DFT, PBE-GGA
State: optimized geometry

As for the space group: No. 123. As for the density of states at the Fermi level: 3.862 states/eV per cell. The total DFT energy (no corrections) is -4.420 eV per atom. Its crystal system is tetragonal. Its formation energy is 413 meV/atom.

a b c (Å): 3.5762 3.5762 7.7651
angles (deg): 90.00 90.00 90.00
Fractional positions:
Sr: 0.0000 0.0000 0.2331
Sr: 0.0000 0.0000 0.7669
Co: 0.5000 0.5000 0.5000
Ir: 0.5000 0.5000 0.0000


Material: Ca2N2Cl
Method: DFT, PBE-GGA
State: optimized geometry

As for the space group: No. 15. As for the density of states at the Fermi level: 4.792 states/eV per cell. The value obtained for the energy relative to the elements, uncorrected is -1192 meV/atom. The total DFT energy (no corrections) is -5.692 eV per atom. Its crystal system is monoclinic.

a b c (Å): 7.2844 7.2844 6.4695
angles (deg): 102.90 102.90 31.43
Fractional positions:
Ca: 0.0425 0.6542 0.8474
Ca: 0.3458 0.9575 0.6526
Ca: 0.6542 0.0425 0.3474
Ca: 0.9575 0.3458 0.1526
N: 0.1472 0.4104 0.4745
N: 0.4104 0.1472 0.9745
N: 0.5896 0.8528 0.0255
N: 0.8528 0.5896 0.5255
Cl: 0.2333 0.7667 0.2500
Cl: 0.7667 0.2333 0.7500


Material: Al5Ru4Rh
Method: DFT, PBE-GGA
State: optimized geometry

As for the space group: No. 123. As for the density of states at the Fermi level: 8.264 states/eV per cell. The total DFT energy (no corrections) is -7.076 eV per atom. Its crystal system is tetragonal. Its formation energy is -760 meV/atom.

a b c (Å): 3.0054 3.0054 15.0181
angles (deg): 90.00 90.00 90.00
Fractional positions:
Al: 0.0000 0.0000 0.0000
Al: 0.0000 0.0000 0.2006
Al: 0.0000 0.0000 0.3973
Al: 0.0000 0.0000 0.6027
Al: 0.0000 0.0000 0.7994
Ru: 0.5000 0.5000 0.0999
Ru: 0.5000 0.5000 0.3001
Ru: 0.5000 0.5000 0.6999
Ru: 0.5000 0.5000 0.9001
Rh: 0.5000 0.5000 0.5000


Material: TeOs5
Method: DFT, PBE-GGA
State: optimized geometry

As for the space group: No. 8. As for the density of states at the Fermi level: 4.808 states/eV per cell. The value obtained for the energy relative to the elements, uncorrected is 512 meV/atom. The total DFT energy (no corrections) is -9.369 eV per atom. Its crystal system is monoclinic.

a b c (Å): 5.2768 5.2768 6.6883
angles (deg): 105.44 105.44 31.46
Fractional positions:
Te: 0.0000 0.0000 0.0000
Os: 0.2658 0.2658 0.0287
Os: 0.3512 0.3512 0.6473
Os: 0.6376 0.6376 0.6864
Os: 0.6946 0.6946 0.3339
Os: 0.9647 0.9647 0.3843


Material: Pm12TmCd3
Method: DFT, PBE-GGA
State: optimized geometry

As for the space group: No. 123. As for the density of states at the Fermi level: 24.040 states/eV per cell. The total DFT energy (no corrections) is -4.087 eV per atom. Its crystal system is tetragonal. Its formation energy is -73 meV/atom.

a b c (Å): 4.9699 4.9699 20.1483
angles (deg): 90.00 90.00 90.00
Fractional positions:
Pm: 0.0000 0.0000 0.0000
Pm: 0.0000 0.0000 0.2462
Pm: 0.0000 0.0000 0.5000
Pm: 0.0000 0.0000 0.7538
Pm: 0.0000 0.5000 0.1229
Pm: 0.0000 0.5000 0.3703
Pm: 0.0000 0.5000 0.6297
Pm: 0.0000 0.5000 0.8771
Pm: 0.5000 0.0000 0.1229
Pm: 0.5000 0.0000 0.3703
Pm: 0.5000 0.0000 0.6297
Pm: 0.5000 0.0000 0.8771
Tm: 0.5000 0.5000 0.5000
Cd: 0.5000 0.5000 0.0000
Cd: 0.5000 0.5000 0.2437
Cd: 0.5000 0.5000 0.7563


Material: CaPbF2
Method: DFT, PBE-GGA
State: optimized geometry

As for the space group: No. 225. As for the density of states at the Fermi level: 4.087 states/eV per cell. The value obtained for the energy relative to the elements, uncorrected is -1753 meV/atom. The total DFT energy (no corrections) is -4.117 eV per atom. Its crystal system is cubic.

a b c (Å): 4.7635 4.7635 4.7635
angles (deg): 60.00 60.00 60.00
Fractional positions:
Ca: 0.0000 0.0000 0.0000
Pb: 0.5000 0.5000 0.5000
F: 0.2500 0.2500 0.2500
F: 0.7500 0.7500 0.7500


Material: LaSmTlIn
Method: DFT, PBE-GGA
State: optimized geometry

As for the space group: No. 216. As for the density of states at the Fermi level: 2.563 states/eV per cell. The total DFT energy (no corrections) is -4.137 eV per atom. Its crystal system is cubic. Its formation energy is -449 meV/atom.

a b c (Å): 5.5337 5.5337 5.5337
angles (deg): 60.00 60.00 60.00
Fractional positions:
La: 0.0000 0.0000 0.0000
Sm: 0.5000 0.5000 0.5000
Tl: 0.7500 0.7500 0.7500
In: 0.2500 0.2500 0.2500